MnAs2Pb (PBE-GGA, relaxed); total moment = 3.3 μB per formula unit; space-group type = C2/m (12); E_tot = -22.36 eV/cell; distance to the lowest polymorph of the same formula = 0 meV/atom; ΔE_f = -46 meV per atom
1.0
3.330 -1.921 0.000
3.330 1.921 0.000
-2.198 0.000 6.848
Mn As Pb
1 2 1
Direct
0.000 0.000 0.000 Mn
0.271 0.271 0.813 As
0.729 0.729 0.187 As
0.500 0.500 0.500 Pb